[1]
DFT (PBEsol) results for an optimized crystal structure of LiTiO2.

Geometry as extended XYZ:
```
4
Lattice="2.930 0.000 0.000 0.000 2.930 0.000 0.000 0.000 3.948" Properties=species:S:1:pos:R:3 pbc="T T T"
Li 0.000 0.000 0.000
Ti 1.465 1.465 1.974
O 0.000 0.000 1.974
O 1.465 1.465 0.000
```

Formation energy from raw total energies = -2.67 eV/atom



[2]
DFT (PBEsol) results for an optimized crystal structure of Ho2MgSi2.

Geometry as extended XYZ:
```
10
Lattice="7.083 0.000 0.000 0.000 7.083 0.000 0.000 0.000 4.129" Properties=species:S:1:pos:R:3 pbc="T T T"
Ho 1.261 2.281 0.000
Ho 2.281 5.822 0.000
Ho 4.802 1.261 0.000
Ho 5.822 4.802 0.000
Mg 0.000 0.000 2.064
Mg 3.541 3.541 2.064
Si 0.840 4.382 2.064
Si 2.701 0.840 2.064
Si 4.382 6.243 2.064
Si 6.243 2.701 2.064
```

Formation energy from raw total energies = -0.76 eV/atom



[3]
DFT (PBEsol) results for an optimized crystal structure of Ti3Cu2SbP6O24.

Geometry as extended XYZ:
```
36
Lattice="4.347 2.510 6.884 -4.347 2.510 6.884 0.000 -5.019 6.884" Properties=species:S:1:pos:R:3 pbc="T T T"
Ti 0.000 0.000 0.000
Ti 0.000 0.000 4.422
Ti 0.000 0.000 10.413
Cu 0.000 0.000 7.388
Cu 0.000 0.000 17.739
Sb 0.000 0.000 14.706
P -3.024 0.350 9.121
P -1.340 -2.297 12.584
P 1.209 -2.794 9.121
P -1.319 2.308 12.584
P 1.815 2.444 9.121
P 2.659 -0.012 12.584
O -3.471 1.106 7.844
O -0.705 -1.331 5.659
O -2.879 -2.337 12.402
O -3.385 1.220 10.325
O 0.777 -3.559 7.844
O -0.800 1.276 5.659
O -1.490 0.144 9.051
O 0.636 -3.541 10.325
O -0.775 -1.401 11.449
O 0.620 -1.363 9.051
O -0.977 -1.784 13.967
O 1.505 0.054 5.659
O -0.826 1.372 11.449
O -1.600 -0.210 16.199
O 0.870 1.218 9.051
O -1.056 1.738 13.967
O 1.601 0.030 11.449
O -0.585 3.662 12.402
O 0.983 -1.281 16.199
O 2.693 2.452 7.844
O 3.464 -1.324 12.402
O 2.033 0.045 13.967
O 0.618 1.491 16.199
O 2.749 2.322 10.325
```

Formation energy from raw total energies = -2.18 eV/atom



[4]
DFT (PBEsol) results for an optimized crystal structure of YSc2W.

Geometry as extended XYZ:
```
4
Lattice="1.520 0.877 10.882 -1.520 0.877 10.882 0.000 -1.755 10.882" Properties=species:S:1:pos:R:3 pbc="T T T"
Y 0.000 0.000 0.000
Sc 0.000 0.000 13.695
Sc 0.000 0.000 18.951
W 0.000 0.000 16.323
```

Energy relative to the lowest polymorph listed for this composition = 359.0 meV/atom
Formation energy = 0.661 eV per atom



[5]
DFT (PBEsol) results for an optimized crystal structure of CaMg2.

Geometry as extended XYZ:
```
3
Lattice="3.521 0.000 0.000 -1.760 3.049 0.000 0.000 0.000 7.992" Properties=species:S:1:pos:R:3 pbc="T T T"
Ca 0.000 0.000 0.000
Mg 0.000 2.033 5.217
Mg 1.760 1.016 2.775
```

Formation energy = 0.070 eV per atom



[6]
DFT (PBEsol) results for an optimized crystal structure of CaFe2Os.

Geometry as extended XYZ:
```
4
Lattice="4.556 -1.373 0.000 4.556 1.373 0.000 -1.324 0.000 4.849" Properties=species:S:1:pos:R:3 pbc="T T T"
Ca 0.000 0.000 0.000
Fe 1.065 0.000 3.462
Fe 4.007 0.000 2.430
Os 6.635 0.000 1.721
```

Energy relative to the lowest polymorph listed for this composition = 95.8 meV/atom
Formation energy = 0.524 eV per atom



Number 1: theoretical density 4.25 g cm⁻³, final energy -7.87 eV/atom. Number 2: theoretical density 6.58 g cm⁻³, final energy -5.38 eV/atom. Number 3: theoretical density 3.55 g cm⁻³, final energy -7.70 eV/atom. Number 4: theoretical density 6.92 g cm⁻³, final energy -7.80 eV/atom. Number 5: theoretical density 1.72 g cm⁻³, final energy -1.79 eV/atom. Number 6: theoretical density 9.36 g cm⁻³, final energy -7.54 eV/atom.